(1)
Below is a relaxed structure of CuBr4, with properties calculated at the PBE-GGA level.

Properties
- formation energy without anion corrections (meV/atom) = -151
- ΔE to the lowest computed polymorph (meV per atom) = 0.0

Lattice parameters (Å, degrees): 6.922 16.727 6.866 90.00 92.30 90.00
Space group C2/m (No. 12)
Asymmetric unit:
Cu: 0.000 0.249 0.000 x4
Br: 0.160 0.000 0.909 x4
Br: 0.161 0.500 0.412 x4
Br: 0.241 0.252 0.758 x8

(2)
Below is a relaxed structure of TaCoAg2, with properties calculated at the PBE-GGA level.

Properties
- ΔE to the lowest computed polymorph (meV per atom) = 174.4
- DFT formation energy (eV/atom) = 0.329

Lattice parameters (Å, degrees): 3.067 4.283 9.630 90.00 90.00 90.00
Space group Immm (No. 71)
Asymmetric unit:
Ta: 0.000 0.000 0.000 x2
Co: 0.000 0.000 0.500 x2
Ag: 0.000 0.500 0.227 x4